Record 1
Compound: SrGaC3
Source: Alexandria via LeMat-Bulk
Functional: PBE-GGA
Structure: relaxed

Results
The calculation puts the formation energy at 3.43 eV/atom. The calculation puts the final energy at -3.05 eV/atom. For the polymorph energy (0 for the lowest one), the calculation gives 1569 meV/atom. The volume is 21.6 A^3/atom. As for the space group: Pm-3m (221).

Lattice parameters (Å, degrees): 4.7620 4.7620 4.7620 90.00 90.00 90.00
Positions (direct):
Sr 0.0000 0.0000 0.0000
C 0.0000 0.5000 0.0000
C 0.0000 0.0000 0.5000
C 0.5000 0.0000 0.0000
Ga 0.5000 0.5000 0.5000

---

Record 2
Compound: Tb6PmNd5
Source: Alexandria via LeMat-Bulk
Functional: PBE-GGA
Structure: relaxed

Results
The calculation puts the formation energy at 0.01 eV/atom. The calculation puts the final energy at -4.69 eV/atom. For the polymorph energy (0 for the lowest one), the calculation gives 0 meV/atom. The volume is 33.4 A^3/atom. As for the space group: C2/m (12).

Lattice parameters (Å, degrees): 11.9176 6.2808 6.2815 60.00 84.97 79.90
Positions (direct):
Tb 0.7503 0.0827 0.3332
Tb 0.2497 0.5841 0.3332
Tb 0.2498 0.2505 0.0000
Tb 0.7502 0.7495 0.0000
Tb 0.7503 0.4159 0.6668
Tb 0.2497 0.9173 0.6668
Pm 0.0000 0.0000 0.0000
Nd 0.5000 0.1667 0.6667
Nd 0.0000 0.3333 0.3333
Nd 0.5000 0.5000 0.0000
Nd 0.0000 0.6667 0.6667
Nd 0.5000 0.8333 0.3333

---

Record 3
Compound: Rb2MgI
Source: Alexandria via LeMat-Bulk
Functional: PBE-GGA
Structure: relaxed

Results
The calculation puts the final energy at -1.66 eV/atom. For the polymorph energy (0 for the lowest one), the calculation gives 5 meV/atom. The volume is 50.9 A^3/atom. As for the space group: Fm-3m (225). Its raw formation energy is -0.39 eV per atom.

Lattice parameters (Å, degrees): 6.6025 6.6025 6.6025 60.00 60.00 60.00
Positions (direct):
I 0.5000 0.5000 0.5000
Mg 0.0000 0.0000 0.0000
Rb 0.2500 0.2500 0.2500
Rb 0.7500 0.7500 0.7500

---

Record 4
Compound: LiAlRu
Source: Alexandria via LeMat-Bulk
Functional: PBE-GGA
Structure: relaxed

Results
The calculation puts the formation energy at -0.24 eV/atom. The calculation puts the final energy at -5.21 eV/atom. The volume is 13.4 A^3/atom. As for the space group: P3m1 (156).

Lattice parameters (Å, degrees): 4.1902 4.1902 2.6394 90.00 90.00 120.00
Positions (direct):
Al 0.0000 0.0000 0.0462
Li 0.3333 0.6667 0.3032
Ru 0.6667 0.3333 0.6507

---

Record 5
Compound: TaMnAs
Source: Alexandria via LeMat-Bulk
Functional: PBE-GGA
Structure: relaxed

Results
The calculation puts the formation energy at 0.40 eV/atom. The calculation puts the final energy at -8.16 eV/atom. The volume is 18.7 A^3/atom. As for the space group: F-43m (216).

Lattice parameters (Å, degrees): 4.2981 4.2981 4.2981 60.00 60.00 60.00
Positions (direct):
As 0.7500 0.7500 0.7500
Mn 0.2500 0.2500 0.2500
Ta 0.0000 0.0000 0.0000

---

Record 6
Compound: Lu2ZnIr
Source: Alexandria via LeMat-Bulk
Functional: PBE-GGA
Structure: relaxed

Results
The calculation puts the formation energy at -0.69 eV/atom. The calculation puts the final energy at -5.49 eV/atom. For the polymorph energy (0 for the lowest one), the calculation gives 15 meV/atom. The volume is 20.3 A^3/atom. As for the space group: P4/mmm (123).

Lattice parameters (Å, degrees): 3.4236 3.4236 6.9290 90.00 90.00 90.00
Positions (direct):
Zn 0.5000 0.5000 0.5000
Ir 0.5000 0.5000 0.0000
Lu 0.0000 0.0000 0.7688
Lu 0.0000 0.0000 0.2312

---

Record 7
Compound: Si3Sb
Source: Alexandria via LeMat-Bulk
Functional: PBE-GGA
Structure: relaxed

Results
The calculation puts the final energy at -4.71 eV/atom. For the polymorph energy (0 for the lowest one), the calculation gives 52 meV/atom. The volume is 20.5 A^3/atom. As for the space group: Pmmn (59). Its raw formation energy is 0.39 eV per atom.

Lattice parameters (Å, degrees): 3.2766 5.4411 9.1793 90.00 90.00 90.00
Positions (direct):
Si 0.5000 0.0000 0.2341
Si 0.0000 0.5000 0.7659
Si 0.0000 0.7207 0.1033
Si 0.0000 0.2793 0.1033
Si 0.5000 0.2207 0.8967
Si 0.5000 0.7793 0.8967
Sb 0.0000 0.0000 0.4876
Sb 0.5000 0.5000 0.5124

---

Record 8
Compound: Nd2HPd6
Source: Alexandria via LeMat-Bulk
Functional: PBE-GGA
Structure: relaxed

Results
The calculation puts the final energy at -5.62 eV/atom. The volume is 16.6 A^3/atom. As for the space group: I4/mmm (139).

Lattice parameters (Å, degrees): 5.9524 5.9513 8.4495 90.00 90.00 90.00
Positions (direct):
Nd 0.0000 0.5000 0.7500
Nd 0.5000 0.0000 0.7500
Nd 0.5000 0.0000 0.2500
Nd 0.0000 0.5000 0.2500
H 0.5000 0.5000 0.0000
H 0.0000 0.0000 0.5000
Pd 0.0000 0.0000 0.2492
Pd 0.7490 0.7490 0.5000
Pd 0.7510 0.7510 0.0000
Pd 0.7490 0.2510 0.5000
Pd 0.7510 0.2490 0.0000
Pd 0.5000 0.5000 0.2508
Pd 0.0000 0.0000 0.7508
Pd 0.2510 0.2510 0.5000
Pd 0.2490 0.2490 0.0000
Pd 0.2510 0.7490 0.5000
Pd 0.2490 0.7510 0.0000
Pd 0.5000 0.5000 0.7492

---

Record 9
Compound: Li4ZnNi4
Source: Alexandria via LeMat-Bulk
Functional: PBE-GGA
Structure: relaxed

Results
The calculation puts the formation energy at -0.01 eV/atom. The calculation puts the final energy at -3.57 eV/atom. The volume is 12.0 A^3/atom. As for the space group: I4/mmm (139).

Lattice parameters (Å, degrees): 3.4942 5.8290 5.8290 84.85 72.56 72.56
Positions (direct):
Li 0.4999 0.1807 0.3195
Li 0.5001 0.8193 0.6805
Li 0.1806 0.8195 0.3193
Li 0.8194 0.1805 0.6807
Zn 0.5000 0.5000 0.0000
Ni 0.1671 0.1658 0.0000
Ni 0.8329 0.8342 0.0000
Ni 0.8329 0.5000 0.3342
Ni 0.1671 0.5000 0.6658

---

Record 10
Compound: MgGaNi
Source: Alexandria via LeMat-Bulk
Functional: PBE-GGA
Structure: relaxed

Results
The calculation puts the formation energy at -0.28 eV/atom. The calculation puts the final energy at -3.75 eV/atom. The volume is 14.9 A^3/atom. As for the space group: I4mm (107).

Lattice parameters (Å, degrees): 3.1233 3.1233 5.0830 107.89 107.89 90.00
Positions (direct):
Ni 0.6839 0.6839 0.3679
Mg 0.0076 0.0076 0.0153
Ga 0.3084 0.3084 0.6169

---

Record 11
Compound: AgC3
Source: Alexandria via LeMat-Bulk
Functional: PBE-GGA
Structure: relaxed

Results
The calculation puts the formation energy at 3.58 eV/atom. The calculation puts the final energy at -4.05 eV/atom. For the polymorph energy (0 for the lowest one), the calculation gives 2622 meV/atom. The volume is 10.4 A^3/atom. As for the space group: P4/mmm (123).

Lattice parameters (Å, degrees): 3.6765 3.6765 3.0662 90.00 90.00 90.00
Positions (direct):
C 0.5000 0.0000 0.5000
C 0.5000 0.5000 0.0000
C 0.0000 0.5000 0.5000
Ag 0.0000 0.0000 0.0000

---

Record 12
Compound: TeAs2Br
Source: Alexandria via LeMat-Bulk
Functional: PBE-GGA
Structure: relaxed

Results
The calculation puts the final energy at -3.21 eV/atom. For the polymorph energy (0 for the lowest one), the calculation gives 363 meV/atom. The volume is 25.8 A^3/atom. As for the space group: Fmmm (69). Its raw formation energy is 0.32 eV per atom.

Lattice parameters (Å, degrees): 5.1048 5.1292 5.1121 70.69 70.32 109.26
Positions (direct):
As 0.0000 0.0000 0.0000
As 0.5000 0.0000 0.5000
Te 0.5000 0.5000 0.0000
Br 0.0000 0.5000 0.5000